Entry 1:
Below is CaTeIr2 at its PBEsol-relaxed geometry, with properties calculated at the SCAN level.

## Properties
energy relative to the elements, uncorrected	-0.01	eV per atom
space group	No. 44
N(E_F)	2.874	states/eV per cell
density	12327	kg/m³

```
data_CaTeIr2
_symmetry_space_group_name_H-M 'P 1'
_symmetry_Int_Tables_number 1
_symmetry_space_group_name_Hall 'P 1'
_cell_length_a 3.183
_cell_length_b 4.739
_cell_length_c 5.697
_cell_angle_alpha 114.57
_cell_angle_beta 106.22
_cell_angle_gamma 90.00
loop_
_atom_site_label
_atom_site_fract_x
_atom_site_fract_y
_atom_site_fract_z
Ca1 0.247 0.747 0.493
Ir1 0.029 0.029 0.058
Ir2 0.755 0.255 0.509
Te1 0.470 0.470 0.939
```

---

Entry 2:
Below is CaTeIr at its PBEsol-relaxed geometry, with properties calculated at the SCAN level.

## Properties
energy relative to the elements, uncorrected	-0.31	eV per atom
space group	No. 107
energy relative to the lowest polymorph listed for this composition	0	meV per atom
N(E_F)	2.490	states/eV per cell
density	8768	kg/m³

```
data_CaTeIr
_symmetry_space_group_name_H-M 'P 1'
_symmetry_Int_Tables_number 1
_symmetry_space_group_name_Hall 'P 1'
_cell_length_a 3.615
_cell_length_b 3.615
_cell_length_c 5.809
_cell_angle_alpha 108.13
_cell_angle_beta 108.13
_cell_angle_gamma 90.00
loop_
_atom_site_label
_atom_site_fract_x
_atom_site_fract_y
_atom_site_fract_z
Ca1 0.998 0.998 0.996
Ir1 0.292 0.292 0.584
Te1 0.710 0.710 0.420
```

---

Entry 3:
Below is Ca2TeIr at its PBEsol-relaxed geometry, with properties calculated at the SCAN level.

## Properties
energy relative to the elements, uncorrected	-0.45	eV per atom
space group	No. 99
N(E_F)	3.408	states/eV per cell
density	6179	kg/m³

```
data_Ca2TeIr
_symmetry_space_group_name_H-M 'P 1'
_symmetry_Int_Tables_number 1
_symmetry_space_group_name_Hall 'P 1'
_cell_length_a 4.199
_cell_length_b 4.199
_cell_length_c 6.096
_cell_angle_alpha 90.00
_cell_angle_beta 90.00
_cell_angle_gamma 90.00
loop_
_atom_site_label
_atom_site_fract_x
_atom_site_fract_y
_atom_site_fract_z
Ca1 0.000 0.000 0.934
Ca2 0.500 0.500 0.332
Ir1 0.000 0.000 0.409
Te1 0.500 0.500 0.825
```

---

Entry 4:
Below is Ca2TeIr at its PBEsol-relaxed geometry, with properties calculated at the SCAN level.

## Properties
energy relative to the elements, uncorrected	-0.46	eV per atom
space group	No. 119
N(E_F)	4.120	states/eV per cell
density	7369	kg/m³

```
data_Ca2TeIr
_symmetry_space_group_name_H-M 'P 1'
_symmetry_Int_Tables_number 1
_symmetry_space_group_name_Hall 'P 1'
_cell_length_a 4.265
_cell_length_b 4.265
_cell_length_c 5.800
_cell_angle_alpha 111.57
_cell_angle_beta 111.57
_cell_angle_gamma 90.00
loop_
_atom_site_label
_atom_site_fract_x
_atom_site_fract_y
_atom_site_fract_z
Ca1 0.000 0.000 0.000
Ca2 0.750 0.250 0.500
Ir1 0.500 0.500 0.000
Te1 0.250 0.750 0.500
```

---

Entry 5:
Below is CaTeIr2 at its PBEsol-relaxed geometry, with properties calculated at the SCAN level.

## Properties
energy relative to the elements, uncorrected	0.08	eV per atom
space group	No. 12
N(E_F)	2.179	states/eV per cell
density	12590	kg/m³

```
data_CaTeIr2
_symmetry_space_group_name_H-M 'P 1'
_symmetry_Int_Tables_number 1
_symmetry_space_group_name_Hall 'P 1'
_cell_length_a 3.075
_cell_length_b 4.881
_cell_length_c 5.188
_cell_angle_alpha 99.29
_cell_angle_beta 90.00
_cell_angle_gamma 108.36
loop_
_atom_site_label
_atom_site_fract_x
_atom_site_fract_y
_atom_site_fract_z
Ca1 0.500 0.000 0.000
Ir1 0.746 0.492 0.725
Ir2 0.254 0.508 0.275
Te1 0.000 0.000 0.500
```

---

Entry 6:
Below is Ca3TlIr at its PBEsol-relaxed geometry, with properties calculated at the SCAN level.

## Properties
space group	No. 221
N(E_F)	6.648	states/eV per cell
DFT total energy	-33.766	eV per atom
density	4916	kg/m³

```
data_Ca3TlIr
_symmetry_space_group_name_H-M 'P 1'
_symmetry_Int_Tables_number 1
_symmetry_space_group_name_Hall 'P 1'
_cell_length_a 5.589
_cell_length_b 5.589
_cell_length_c 5.589
_cell_angle_alpha 90.00
_cell_angle_beta 90.00
_cell_angle_gamma 90.00
loop_
_atom_site_label
_atom_site_fract_x
_atom_site_fract_y
_atom_site_fract_z
Tl1 0.000 0.000 0.000
Ir1 0.500 0.500 0.500
Ca1 0.000 0.500 0.000
Ca2 0.000 0.000 0.500
Ca3 0.500 0.000 0.000
```